# GGA+U InFeF6, optimized geometry
# Total magnetic moment in Bohr magnetons per cell: 9.79
# Electronic total energy in eV for the cell shown: -78.9
data_InFeF6
_chemical_formula_sum 'In2 Fe2 F12'
_space_group_name_H-M_alt 'P -3 1 c'
_space_group_IT_number 163
_space_group_name_Hall '-P 3 2c'
_cell_length_a 5.1627
_cell_length_b 5.1627
_cell_length_c 9.5511
_cell_angle_alpha 90.00
_cell_angle_beta 90.00
_cell_angle_gamma 120.00
loop_
_atom_site_label
_atom_site_type_symbol
_atom_site_fract_x
_atom_site_fract_y
_atom_site_fract_z
In1 In 0.0000 0.0000 0.0000
Fe1 Fe 0.3333 0.6667 0.2500
F1 F 0.0395 0.3501 0.1290